Record 1
First-principles (PBE-GGA) data for crystalline LaNd4HoEr2 at its relaxed geometry, as listed in Alexandria via LeMat-Bulk.

abc: 6.2727 6.2727 10.2959
angles: 114.29 114.29 48.40
Fractional positions:
La: 0.0000 0.0000 0.0000
Nd: 0.2486 0.2486 0.8724
Nd: 0.2508 0.2508 0.3766
Nd: 0.7492 0.7492 0.6234
Nd: 0.7514 0.7514 0.1276
Ho: 0.0000 0.0000 0.5000
Er: 0.4998 0.4998 0.2536
Er: 0.5002 0.5002 0.7464

Computed properties:
Magnetization (μB per cell): 0.00
SG: C2/m
DFT total energy (eV per atom): -4.690
Crystal system: monoclinic

Record 2
First-principles (PBE-GGA) data for crystalline La3Nd6HoEr2 at its relaxed geometry, as listed in Alexandria via LeMat-Bulk.

abc: 6.3439 6.3439 12.0885
angles: 95.03 95.03 120.05
Fractional positions:
La: 0.0000 0.0000 0.0000
La: 0.3333 0.6667 0.0000
La: 0.6667 0.3333 0.0000
Nd: 0.0853 0.4188 0.2571
Nd: 0.2475 0.2475 0.7430
Nd: 0.4188 0.0853 0.2571
Nd: 0.5812 0.9147 0.7429
Nd: 0.7525 0.7525 0.2570
Nd: 0.9147 0.5812 0.7429
Ho: 0.5000 0.5000 0.5000
Er: 0.1666 0.8334 0.5000
Er: 0.8334 0.1666 0.5000

Computed properties:
Magnetization (μB per cell): 0.00
SG: C2/m
DFT total energy (eV per atom): -4.737
Crystal system: monoclinic

Record 3
First-principles (PBE-GGA) data for crystalline La2Nd6HoEr3 at its relaxed geometry, as listed in Alexandria via LeMat-Bulk.

abc: 6.3126 6.3126 12.0033
angles: 95.03 95.03 120.03
Fractional positions:
La: 0.1668 0.8332 0.0000
La: 0.8332 0.1668 0.0000
Nd: 0.0832 0.4150 0.7447
Nd: 0.2529 0.2529 0.2554
Nd: 0.4150 0.0832 0.7447
Nd: 0.5850 0.9168 0.2553
Nd: 0.7471 0.7471 0.7446
Nd: 0.9168 0.5850 0.2553
Ho: 0.5000 0.5000 0.0000
Er: 0.0000 0.0000 0.5000
Er: 0.3337 0.6663 0.5000
Er: 0.6663 0.3337 0.5000

Computed properties:
Magnetization (μB per cell): 0.00
SG: C2/m
DFT total energy (eV per atom): -4.707
Crystal system: monoclinic

Record 4
First-principles (PBE-GGA) data for crystalline La2NdHoEr at its relaxed geometry, as listed in Alexandria via LeMat-Bulk.

abc: 8.9330 8.9330 6.5366
angles: 90.00 90.00 137.06
Fractional positions:
La: 0.2491 0.2491 0.0000
La: 0.2491 0.2491 0.5000
La: 0.7509 0.7509 0.0000
La: 0.7509 0.7509 0.5000
Nd: 0.3406 0.6594 0.7500
Nd: 0.6594 0.3406 0.2500
Ho: 0.2475 0.7525 0.2500
Ho: 0.7525 0.2475 0.7500
Er: 0.1565 0.8435 0.7500
Er: 0.8435 0.1565 0.2500

Computed properties:
Magnetization (μB per cell): 0.00
SG: Cmcm
DFT total energy (eV per atom): -4.398
Crystal system: orthorhombic

Record 5
First-principles (PBE-GGA) data for crystalline La3HoEr2P6 at its relaxed geometry, as listed in Alexandria via LeMat-Bulk.

abc: 7.1479 7.1479 7.1430
angles: 99.60 99.60 120.00
Fractional positions:
La: 0.0000 0.0000 0.0000
La: 0.3334 0.6666 0.0000
La: 0.6666 0.3334 0.0000
Ho: 0.5000 0.5000 0.5000
Er: 0.1667 0.8333 0.5000
Er: 0.8333 0.1667 0.5000
P: 0.0880 0.4219 0.2658
P: 0.2441 0.2441 0.7342
P: 0.4219 0.0880 0.2658
P: 0.5781 0.9120 0.7342
P: 0.7559 0.7559 0.2658
P: 0.9120 0.5781 0.7342

Computed properties:
Magnetization (μB per cell): 0.00
SG: C2/m
DFT total energy (eV per atom): -6.655
Crystal system: monoclinic

Record 6
First-principles (PBE-GGA) data for crystalline La4PmHo2Er at its relaxed geometry, as listed in Alexandria via LeMat-Bulk.

abc: 5.9762 5.9695 7.7486
angles: 90.00 90.03 90.00
Fractional positions:
La: 0.0005 0.0000 0.2435
La: 0.9995 0.0000 0.7565
La: 0.4988 0.5000 0.7570
La: 0.5012 0.5000 0.2430
Pm: 0.5000 0.0000 0.5000
Ho: 0.0000 0.5000 0.5000
Ho: 0.5000 0.0000 0.0000
Er: 0.0000 0.5000 0.0000

Computed properties:
Magnetization (μB per cell): 0.00
SG: P2/m
DFT total energy (eV per atom): -4.691
Crystal system: monoclinic

Record 7
First-principles (PBE-GGA) data for crystalline La2Pm6HoEr at its relaxed geometry, as listed in Alexandria via LeMat-Bulk.

abc: 8.8847 8.8847 10.0576
angles: 95.24 95.24 118.05
Fractional positions:
La: 0.1934 0.2922 0.0408
La: 0.2922 0.1934 0.5408
La: 0.7078 0.8066 0.4592
La: 0.8066 0.7078 0.9592
Pm: 0.0197 0.5825 0.1892
Pm: 0.1241 0.7427 0.5564
Pm: 0.2573 0.8759 0.9436
Pm: 0.2938 0.4983 0.3785
Pm: 0.4175 0.9803 0.3108
Pm: 0.4983 0.2938 0.8785
Pm: 0.5017 0.7062 0.1215
Pm: 0.5825 0.0197 0.6892
Pm: 0.7062 0.5017 0.6215
Pm: 0.7427 0.1241 0.0564
Pm: 0.8759 0.2573 0.4436
Pm: 0.9803 0.4175 0.8108
Ho: 0.0126 0.9874 0.2500
Ho: 0.9874 0.0126 0.7500
Er: 0.4048 0.5952 0.7500
Er: 0.5952 0.4048 0.2500

Computed properties:
Magnetization (μB per cell): 0.00
SG: C2/c
DFT total energy (eV per atom): -4.635
Crystal system: monoclinic

Record 8
First-principles (PBE-GGA) data for crystalline La4Pm2HoEr at its relaxed geometry, as listed in Alexandria via LeMat-Bulk.

abc: 5.2140 5.2517 10.1420
angles: 90.00 90.05 90.00
Fractional positions:
La: 0.0000 0.0000 0.2493
La: 0.0000 0.0000 0.7507
La: 0.5005 0.5000 0.2500
La: 0.4995 0.5000 0.7500
Pm: 0.0000 0.5000 0.0000
Pm: 0.5000 0.0000 0.5000
Ho: 0.0000 0.5000 0.5000
Er: 0.5000 0.0000 0.0000

Computed properties:
Magnetization (μB per cell): 0.00
SG: P2/m
DFT total energy (eV per atom): -4.777
Crystal system: monoclinic

Record 9
First-principles (PBE-GGA) data for crystalline La3PmHo2Er6 at its relaxed geometry, as listed in Alexandria via LeMat-Bulk.

abc: 6.2140 6.2140 11.7927
angles: 95.03 95.03 119.99
Fractional positions:
La: 0.0000 0.0000 0.0000
La: 0.3333 0.6667 0.0000
La: 0.6667 0.3333 0.0000
Pm: 0.5000 0.5000 0.5000
Ho: 0.1668 0.8332 0.5000
Ho: 0.8332 0.1668 0.5000
Er: 0.0847 0.4185 0.2548
Er: 0.2477 0.2477 0.7453
Er: 0.4185 0.0847 0.2548
Er: 0.5815 0.9153 0.7452
Er: 0.7523 0.7523 0.2547
Er: 0.9153 0.5815 0.7452

Computed properties:
Magnetization (μB per cell): 0.00
SG: C2/m
DFT total energy (eV per atom): -4.650
Crystal system: monoclinic

Record 10
First-principles (PBE-GGA) data for crystalline LaPmHoEr at its relaxed geometry, as listed in Alexandria via LeMat-Bulk.

abc: 5.7514 5.7514 5.7514
angles: 60.00 60.00 60.00
Fractional positions:
La: 0.0000 0.0000 0.0000
Pm: 0.5000 0.5000 0.5000
Ho: 0.7500 0.7500 0.7500
Er: 0.2500 0.2500 0.2500

Computed properties:
Magnetization (μB per cell): 0.00
SG: F-43m
DFT total energy (eV per atom): -4.607
Crystal system: cubic

Record 11
First-principles (PBE-GGA) data for crystalline LaPm2Ho5Er at its relaxed geometry, as listed in Alexandria via LeMat-Bulk.

abc: 9.8862 9.8862 9.8862
angles: 127.43 127.43 77.56
Fractional positions:
La: 0.2500 0.2500 0.0000
La: 0.7500 0.7500 0.0000
Pm: 0.1163 0.6163 0.7327
Pm: 0.3837 0.1163 0.5000
Pm: 0.6163 0.8837 0.5000
Pm: 0.8837 0.3837 0.2673
Ho: 0.0000 0.0000 0.0000
Ho: 0.0729 0.1553 0.5000
Ho: 0.1553 0.6553 0.0824
Ho: 0.3447 0.4271 0.5000
Ho: 0.4271 0.9271 0.0824
Ho: 0.5000 0.5000 0.0000
Ho: 0.5729 0.0729 0.9176
Ho: 0.6553 0.5729 0.5000
Ho: 0.8447 0.3447 0.9176
Ho: 0.9271 0.8447 0.5000
Er: 0.2500 0.7500 0.5000
Er: 0.7500 0.2500 0.5000

Computed properties:
Magnetization (μB per cell): 0.01
SG: I4/mcm
DFT total energy (eV per atom): -4.389
Crystal system: tetragonal

Record 12
First-principles (PBE-GGA) data for crystalline LaPmHoEr at its relaxed geometry, as listed in Alexandria via LeMat-Bulk.

abc: 6.8993 6.8993 3.8106
angles: 105.48 105.48 50.67
Fractional positions:
La: 0.0000 0.0000 0.0000
Pm: 0.7326 0.7326 0.1663
Ho: 0.2541 0.2541 0.7007
Er: 0.4899 0.4899 0.4580

Computed properties:
Magnetization (μB per cell): 0.00
SG: Cm
DFT total energy (eV per atom): -4.601
Crystal system: monoclinic

Record 13
First-principles (PBE-GGA) data for crystalline LaPmHoEr2 at its relaxed geometry, as listed in Alexandria via LeMat-Bulk.

abc: 7.1372 7.1372 7.2140
angles: 90.00 90.00 107.58
Fractional positions:
La: 0.2344 0.7656 0.7500
La: 0.7656 0.2344 0.2500
Pm: 0.5000 0.5000 0.2500
Pm: 0.5000 0.5000 0.7500
Ho: 0.2171 0.7829 0.2500
Ho: 0.7829 0.2171 0.7500
Er: 0.1874 0.1874 0.0000
Er: 0.1874 0.1874 0.5000
Er: 0.8126 0.8126 0.0000
Er: 0.8126 0.8126 0.5000

Computed properties:
Magnetization (μB per cell): 0.01
SG: Cmcm
DFT total energy (eV per atom): -4.318
Crystal system: orthorhombic

Record 14
First-principles (PBE-GGA) data for crystalline LaPm6Ho2Er3 at its relaxed geometry, as listed in Alexandria via LeMat-Bulk.

abc: 6.2505 6.2505 11.8926
angles: 95.02 95.02 120.00
Fractional positions:
La: 0.0000 0.0000 0.0000
Pm: 0.0847 0.4193 0.2532
Pm: 0.2497 0.2497 0.7465
Pm: 0.4193 0.0847 0.2532
Pm: 0.5807 0.9153 0.7468
Pm: 0.7503 0.7503 0.2535
Pm: 0.9153 0.5807 0.7468
Ho: 0.3335 0.6665 0.0000
Ho: 0.6665 0.3335 0.0000
Er: 0.1672 0.8328 0.5000
Er: 0.5000 0.5000 0.5000
Er: 0.8328 0.1672 0.5000

Computed properties:
Magnetization (μB per cell): 0.00
SG: C2/m
DFT total energy (eV per atom): -4.670
Crystal system: monoclinic

Record 15
First-principles (PBE-GGA) data for crystalline La2PmHo3Er6 at its relaxed geometry, as listed in Alexandria via LeMat-Bulk.

abc: 6.1809 6.1809 11.7616
angles: 95.02 95.02 119.98
Fractional positions:
La: 0.1668 0.8332 0.0000
La: 0.8332 0.1668 0.0000
Pm: 0.5000 0.5000 0.0000
Ho: 0.0000 0.0000 0.5000
Ho: 0.3335 0.6665 0.5000
Ho: 0.6665 0.3335 0.5000
Er: 0.0819 0.4146 0.7447
Er: 0.2528 0.2528 0.2553
Er: 0.4146 0.0819 0.7447
Er: 0.5854 0.9181 0.2553
Er: 0.7472 0.7472 0.7447
Er: 0.9181 0.5854 0.2553

Computed properties:
Magnetization (μB per cell): 0.00
SG: C2/m
DFT total energy (eV per atom): -4.618
Crystal system: monoclinic

Record 16
First-principles (PBE-GGA) data for crystalline LaPm6Ho2Er at its relaxed geometry, as listed in Alexandria via LeMat-Bulk.

abc: 8.9299 8.9299 9.7373
angles: 94.17 94.17 117.61
Fractional positions:
La: 0.0941 0.9059 0.7500
La: 0.9059 0.0941 0.2500
Pm: 0.0084 0.7940 0.3792
Pm: 0.0683 0.5207 0.1821
Pm: 0.2060 0.9916 0.1208
Pm: 0.2599 0.6123 0.5550
Pm: 0.3877 0.7401 0.9450
Pm: 0.4793 0.9317 0.3179
Pm: 0.5207 0.0683 0.6821
Pm: 0.6123 0.2599 0.0550
Pm: 0.7401 0.3877 0.4450
Pm: 0.7940 0.0084 0.8792
Pm: 0.9317 0.4793 0.8179
Pm: 0.9916 0.2060 0.6208
Ho: 0.2085 0.3060 0.9544
Ho: 0.3060 0.2085 0.4544
Ho: 0.6940 0.7915 0.5456
Ho: 0.7915 0.6940 0.0456
Er: 0.4705 0.5295 0.2500
Er: 0.5295 0.4705 0.7500

Computed properties:
Magnetization (μB per cell): 0.00
SG: C2/c
DFT total energy (eV per atom): -4.597
Crystal system: monoclinic

Record 17
First-principles (PBE-GGA) data for crystalline La2Pm3Ho6Er at its relaxed geometry, as listed in Alexandria via LeMat-Bulk.

abc: 6.2322 6.2322 11.8342
angles: 95.03 95.03 119.99
Fractional positions:
La: 0.1665 0.8335 0.0000
La: 0.8335 0.1665 0.0000
Pm: 0.0000 0.0000 0.5000
Pm: 0.3332 0.6668 0.5000
Pm: 0.6668 0.3332 0.5000
Ho: 0.0840 0.4161 0.7489
Ho: 0.2518 0.2518 0.2514
Ho: 0.4161 0.0840 0.7489
Ho: 0.5839 0.9160 0.2511
Ho: 0.7482 0.7482 0.7486
Ho: 0.9160 0.5839 0.2511
Er: 0.5000 0.5000 0.0000

Computed properties:
Magnetization (μB per cell): 0.00
SG: C2/m
DFT total energy (eV per atom): -4.662
Crystal system: monoclinic

Record 18
First-principles (PBE-GGA) data for crystalline La6PmHo2Er at its relaxed geometry, as listed in Alexandria via LeMat-Bulk.

abc: 6.7200 6.7200 9.0435
angles: 101.91 101.91 63.75
Fractional positions:
La: 0.0939 0.5374 0.1931
La: 0.1356 0.1356 0.4312
La: 0.4626 0.9061 0.8069
La: 0.5374 0.0939 0.1931
La: 0.8644 0.8644 0.5688
La: 0.9061 0.4626 0.8069
Pm: 0.5000 0.5000 0.5000
Ho: 0.4148 0.4148 0.8361
Ho: 0.5851 0.5851 0.1639
Er: 0.0000 0.0000 0.0000

Computed properties:
Magnetization (μB per cell): 0.00
SG: C2/m
DFT total energy (eV per atom): -4.609
Crystal system: monoclinic

Record 19
First-principles (PBE-GGA) data for crystalline LaPm2Ho4Er at its relaxed geometry, as listed in Alexandria via LeMat-Bulk.

abc: 7.1863 10.0453 7.1917
angles: 90.00 90.09 90.00
Fractional positions:
La: 0.0000 0.0000 0.0000
La: 0.0000 0.0000 0.5000
Pm: 0.0000 0.5000 0.0000
Pm: 0.5000 0.0000 0.0000
Pm: 0.5000 0.5000 0.0000
Pm: 0.5000 0.5000 0.5000
Ho: 0.2520 0.2516 0.2519
Ho: 0.2516 0.2519 0.7480
Ho: 0.2520 0.7484 0.2519
Ho: 0.2516 0.7481 0.7480
Ho: 0.7484 0.2519 0.2520
Ho: 0.7480 0.2516 0.7481
Ho: 0.7484 0.7481 0.2520
Ho: 0.7480 0.7484 0.7481
Er: 0.0000 0.5000 0.5000
Er: 0.5000 0.0000 0.5000

Computed properties:
Magnetization (μB per cell): 0.00
SG: P2/m
DFT total energy (eV per atom): -4.643
Crystal system: monoclinic

Record 20
First-principles (PBE-GGA) data for crystalline LaPm2HoEr4 at its relaxed geometry, as listed in Alexandria via LeMat-Bulk.

abc: 7.1833 10.0031 7.1855
angles: 90.00 90.12 90.00
Fractional positions:
La: 0.0000 0.0000 0.0000
La: 0.5000 0.0000 0.0000
Pm: 0.0000 0.0000 0.5000
Pm: 0.0000 0.5000 0.0000
Pm: 0.0000 0.5000 0.5000
Pm: 0.5000 0.5000 0.5000
Ho: 0.5000 0.0000 0.5000
Ho: 0.5000 0.5000 0.0000
Er: 0.2517 0.2518 0.2517
Er: 0.2518 0.2520 0.7484
Er: 0.2517 0.7482 0.2517
Er: 0.2518 0.7480 0.7484
Er: 0.7482 0.2520 0.2516
Er: 0.7483 0.2518 0.7483
Er: 0.7482 0.7480 0.2516
Er: 0.7483 0.7482 0.7483

Computed properties:
Magnetization (μB per cell): 0.00
SG: P2/m
DFT total energy (eV per atom): -4.636
Crystal system: monoclinic